Here is crystalline Pm2Ho8Cd at its relaxed geometry from the Alexandria database. Energies are from PBE.

Values from the calculation:
Space-group type: No. 12
E_form (eV per formula unit): -0.1

a b c (Å): 10.0436 10.0436 6.4164
angles (deg): 94.80 94.80 32.04
Fractional positions:
Pm 0.2431 0.2431 0.3317
Pm 0.7569 0.7569 0.6683
Ho 0.0436 0.0436 0.2642
Ho 0.1523 0.1523 0.8081
Ho 0.3409 0.3409 0.8774
Ho 0.4220 0.4220 0.4008
Ho 0.5780 0.5780 0.5992
Ho 0.6591 0.6591 0.1226
Ho 0.8477 0.8477 0.1919
Ho 0.9564 0.9564 0.7358
Cd 0.5000 0.5000 0.0000